P.
HfTh2Cu, optimized geometry, DFT PBE; total magnetic moment = 0.00 μB/f.u.
1.0
-3.3539 0.2944 -0.6464
-0.7069 -1.6874 2.8993
-0.1748 7.5017 4.3235
Hf Cu Th
1 1 2
Direct
0.5000 0.5000 0.5000 Hf
0.5000 0.5000 0.0000 Cu
0.0000 0.0000 0.7747 Th
0.0000 0.0000 0.2253 Th

Q.
HfTh2Cu, optimized geometry, DFT PBE; total magnetic moment = 0.00 μB/f.u.
1.0
3.3037 0.0000 0.0000
1.6518 2.8611 0.0000
1.6518 0.9537 10.9059
Hf Cu Th
1 1 2
Direct
0.0000 0.0000 0.0000 Hf
0.5000 0.5000 0.5000 Cu
0.0941 0.0941 0.7177 Th
0.9059 0.9059 0.2823 Th

Each structure's energy above the most stable one, in kJ/mol of atoms: P 0.0; Q 36.9.

P.
HfTiCu2, optimized geometry, DFT PBE; total magnetic moment = 1.29 μB/f.u.
1.0
3.1413 0.0000 0.0000
0.0000 3.1413 0.0000
0.0000 0.0000 6.4032
Hf Cu Ti
1 2 1
Direct
0.5000 0.5000 0.5000 Hf
0.0000 0.0000 0.7736 Cu
0.0000 0.0000 0.2264 Cu
0.5000 0.5000 0.0000 Ti

Q.
HfTiCu2, optimized geometry, DFT PBE; total magnetic moment = 1.34 μB/f.u.
1.0
-3.0105 3.0053 1.2072
-2.3274 -0.7251 -3.9991
-3.2866 -4.3796 2.7068
Hf Ti Cu
2 2 4
Direct
0.5000 0.7911 0.0000 Hf
0.0000 0.2089 0.5000 Hf
0.5000 0.7714 0.5000 Ti
0.0000 0.2286 0.0000 Ti
0.0000 0.6884 0.7447 Cu
0.5000 0.3116 0.7553 Cu
0.0000 0.6884 0.2553 Cu
0.5000 0.3116 0.2447 Cu

Each structure's energy above the most stable one, in kJ/mol of atoms: P 1.3; Q 0.0.

P.
HfTiCu2, optimized geometry, DFT PBE; total magnetic moment = 0.56 μB/f.u.
1.0
-1.6554 -0.7493 -3.2943
3.5841 -1.2412 -1.5187
-0.7844 -3.8066 1.2600
Hf Cu Ti
1 2 1
Direct
0.5000 0.5000 0.5000 Hf
0.0000 0.0000 0.5000 Cu
0.0000 0.5000 0.0000 Cu
0.5000 0.0000 0.0000 Ti

Q.
HfTiCu2, optimized geometry, DFT PBE; total magnetic moment = 0.00 μB/f.u.
1.0
-2.5259 -6.5866 -1.0742
6.5412 -2.2159 -1.7943
2.4880 -4.9896 1.0434
Hf Cu Ti
2 4 2
Direct
0.0000 0.0000 0.0000 Hf
0.7500 0.2500 0.5000 Hf
0.6097 0.1250 0.2500 Cu
0.1403 0.6250 0.2500 Cu
0.3750 0.3903 0.7500 Cu
0.8750 0.8597 0.7500 Cu
0.5000 0.5000 0.0000 Ti
0.2500 0.7500 0.5000 Ti

Each structure's energy above the most stable one, in kJ/mol of atoms: P 0.0; Q 32.9.

P.
HfTiCu3, optimized geometry, DFT PBE; total magnetic moment = 0.00 μB/f.u.
1.0
4.8528 0.0000 0.0000
0.0000 5.3489 -3.0857
0.0000 0.0002 6.1752
Hf Ti Cu
2 2 6
Direct
0.2500 0.3334 0.6666 Hf
0.7500 0.6666 0.3334 Hf
0.0000 0.0000 0.0000 Ti
0.5000 0.0000 0.0000 Ti
0.2500 0.7952 0.2048 Cu
0.7500 0.2048 0.7952 Cu
0.2500 0.7952 0.5906 Cu
0.7500 0.2048 0.4094 Cu
0.2500 0.4094 0.2048 Cu
0.7500 0.5906 0.7952 Cu

Q.
HfTiCu3, optimized geometry, DFT PBE; total magnetic moment = 0.51 μB/f.u.
1.0
4.4619 0.0000 0.0000
0.0000 4.4619 0.0000
0.0000 0.0000 4.4619
Hf Cu Ti
1 3 1
Direct
0.5000 0.5000 0.5000 Hf
0.0000 0.5000 0.0000 Cu
0.0000 0.0000 0.5000 Cu
0.5000 0.0000 0.0000 Cu
0.0000 0.0000 0.0000 Ti

Each structure's energy above the most stable one, in kJ/mol of atoms: P 0.0; Q 64.9.